No. 1
Density functional theory data (PBE-GGA) for an optimized crystal structure of Cs2ZnOsO6.

Values from the calculation:
Its space-group type is No. 164. Its formation energy without anion corrections is -1189.4 meV/atom.

Geometry as POSCAR:
```
Cs2ZnOsO6
1.0
-3.130 1.033 -4.110
5.060 -0.658 -4.019
-3.657 -5.157 1.489
Zn O Cs Os
1 6 2 1
Cartesian
-1.565 0.517 -2.055 Zn
-1.932 -4.128 -4.879 O
-2.766 -0.669 -3.374 O
1.039 -4.113 -3.267 O
0.204 -0.653 -1.762 O
3.214 -1.045 -4.153 O
-4.942 -3.737 -2.488 O
-1.517 -3.405 -1.352 Cs
-0.211 -1.377 -5.288 Cs
0.000 0.000 0.000 Os
```


No. 2
Density functional theory data (PBE-GGA) for an optimized crystal structure of Li3Cr.

Values from the calculation:
The offset from the most stable computed form comes out at 0.029 eV per atom. Its space-group type is No. 139.

Geometry as POSCAR:
```
Li3Cr
1.0
5.178 0.063 0.000
1.811 4.852 0.000
-3.495 -2.458 2.927
Li Cr
3 1
Cartesian
0.905 2.426 1.464 Li
2.589 0.032 1.464 Li
3.495 2.458 0.000 Li
0.000 0.000 0.000 Cr
```


No. 3
Density functional theory data (PBE-GGA) for an optimized crystal structure of Pa2CuIr.

Values from the calculation:
The offset from the most stable computed form comes out at 0.064 eV per atom. Its space-group type is No. 123.

Geometry as POSCAR:
```
Pa2CuIr
1.0
-3.332 -2.383 -0.368
2.337 -2.921 -2.246
1.039 -2.029 3.720
Ir Cu Pa
1 1 2
Cartesian
-1.666 -1.191 -0.184 Ir
0.022 -3.666 0.553 Cu
1.169 -1.460 -1.123 Pa
0.520 -1.014 1.860 Pa
```


No. 4
Density functional theory data (PBE-GGA) for an optimized crystal structure of RbSrPd2.

Values from the calculation:
The offset from the most stable computed form comes out at 0.071 eV per atom. Its space-group type is No. 122.

Geometry as POSCAR:
```
RbSrPd2
1.0
-4.247 -5.617 -4.673
6.124 0.211 -5.820
2.444 -5.087 -3.749
Pd Sr Rb
4 2 2
Cartesian
3.560 -8.543 -12.074 Pd
3.967 -1.764 -5.094 Pd
2.451 -5.846 -6.665 Pd
-1.337 -4.834 -4.650 Pd
0.000 0.000 0.000 Sr
-0.433 -6.704 -6.834 Sr
0.939 -2.703 -5.246 Rb
4.753 -3.790 -7.408 Rb
```


No. 5
Density functional theory data (PBE-GGA) for an optimized crystal structure of Ba2In3Pd4Au.

Values from the calculation:
Its space-group type is No. 115.

Geometry as POSCAR:
```
Ba2In3Pd4Au
1.0
-0.294 -4.624 1.338
2.956 -1.231 -3.606
8.450 1.336 6.472
Pd Ba In Au
4 2 3 1
Cartesian
1.331 -2.928 -1.134 Pd
0.000 0.000 0.000 Pd
4.593 -0.123 0.583 Pd
5.188 -1.468 4.755 Pd
1.971 -1.977 2.291 Ba
7.811 0.386 3.047 Ba
2.466 -0.459 -1.046 In
4.225 0.668 3.236 In
7.315 -1.132 6.385 In
5.556 -2.260 2.102 Au
```


No. 6
Density functional theory data (PBE-GGA) for an optimized crystal structure of Ho10Bi4C3.

Values from the calculation:
Its space-group type is No. 139.

Geometry as POSCAR:
```
Ho10Bi4C3
1.0
-1.218 -2.162 4.192
-3.552 -2.428 -2.284
13.689 -10.921 -4.485
Ho Bi C
10 4 3
Cartesian
-1.776 -1.214 -1.142 Ho
7.603 -10.681 -0.469 Ho
-0.609 -1.081 2.096 Ho
1.317 -4.830 -2.108 Ho
4.258 -10.060 -1.121 Ho
2.484 -4.697 1.130 Ho
4.662 -5.450 -1.456 Ho
6.436 -10.814 -3.707 Ho
7.364 -13.692 -2.091 Ho
1.555 -1.818 -0.486 Ho
2.184 -7.636 -0.473 Bi
6.736 -7.874 -2.104 Bi
9.752 -11.401 -3.046 Bi
-0.833 -4.109 0.469 Bi
3.160 -3.694 -0.987 C
0.000 0.000 0.000 C
5.759 -11.816 -1.590 C
```


| no. | raw total energy (eV/atom) | ρ (g/cm³) |
| --- | --- | --- |
| 1 | -5.59 | 5.33 |
| 2 | -3.45 | 1.65 |
| 3 | -8.29 | 15.23 |
| 4 | -3.18 | 5.62 |
| 5 | -4.18 | 8.27 |
| 6 | -5.81 | 9.94 |